Entry 1:
Material: KMnW
Method: DFT, PBE
State: relaxed

Cell lengths 3.1054, 3.1054, 7.7787 Å; angles 90.00, 90.00, 120.00 degrees
Closest atoms and distances in Å follow each position.
Atoms (fractional coordinates):
K1 0.0000 0.0000 0.0084  6 K 3.11
Mn1 0.6667 0.3333 0.3980  3 W 2.35
W1 0.3333 0.6667 0.5936  3 Mn 2.35

Values from the calculation:
DOS(E_F) ... 0.6312 states/eV/atom
Excess energy over the best structure of this formula in the dataset ... 0.085 eV/atom
ρ ... 7.1 g cm⁻³
ΔH_f (0 K) ... 1085 meV per atom



Entry 2:
Material: KMnW
Method: DFT, PBE
State: relaxed

Cell lengths 4.6654, 4.6654, 4.6654 Å; angles 60.00, 60.00, 60.00 degrees
Closest atoms and distances in Å follow each position.
Atoms (fractional coordinates):
K1 0.5000 0.5000 0.5000  4 Mn 2.86
Mn1 0.7500 0.7500 0.7500  4 W 2.86, 4 K 2.86
W1 0.0000 0.0000 0.0000  4 Mn 2.86

Values from the calculation:
DOS(E_F) ... 0.4522 states/eV/atom
Excess energy over the best structure of this formula in the dataset ... 1.063 eV/atom
ρ ... 6.4 g cm⁻³
ΔH_f (0 K) ... 2063 meV per atom



Entry 3:
Material: KMn2W
Method: DFT, PBE
State: relaxed

Cell lengths 10.3898, 10.3898, 10.3898 Å; angles 15.64, 15.64, 15.64 degrees
Closest atoms and distances in Å follow each position.
Atoms (fractional coordinates):
W1 0.5162 0.5162 0.5162  3 Mn 2.76, 6 W 2.83
K1 0.7473 0.7473 0.7473  6 K 2.83
Mn1 0.2551 0.2551 0.2551  3 Mn 2.46
Mn2 0.9813 0.9813 0.9813  3 Mn 2.46

Values from the calculation:
DOS(E_F) ... 0.7989 states/eV/atom
Excess energy over the best structure of this formula in the dataset ... 0.282 eV/atom
ρ ... 7.8 g cm⁻³
ΔH_f (0 K) ... 941 meV per atom



Entry 4:
Material: KMn2W
Method: DFT, PBE
State: relaxed

Cell lengths 4.3943, 4.3943, 7.4711 Å; angles 86.51, 86.51, 37.82 degrees
Closest atoms and distances in Å follow each position.
Atoms (fractional coordinates):
Mn1 0.0141 0.0141 0.8955  3 W 2.51-2.60, 2 Mn 2.62
Mn2 0.4859 0.4859 0.6045  3 W 2.51-2.60, 2 Mn 2.62
K1 0.2500 0.2500 0.2500  2 K 2.85
W1 0.7500 0.7500 0.7500  6 Mn 2.51-2.60

Values from the calculation:
DOS(E_F) ... 0.8082 states/eV/atom
Excess energy over the best structure of this formula in the dataset ... 0.197 eV/atom
ρ ... 6.3 g cm⁻³
ΔH_f (0 K) ... 856 meV per atom



> Among the records above, which one has the lowest excess energy over the best structure of this formula in the dataset?

number 1